# 1
The following is a PBE calculation of crystalline Hf4TiCu at its relaxed geometry, from Alexandria via LeMat-Bulk.

Lattice parameters (Å, degrees): 3.145 3.145 12.017 90.00 90.00 90.00
Space group P4/mmm (No. 123)
Unique sites:
Hf1 0.000 0.000 0.147 x2
Hf2 0.500 0.500 0.327 x2
Ti1 0.000 0.000 0.500 x1
Cu1 0.500 0.500 0.000 x1

Output
formation enthalpy at 0 K: -0.022 eV per atom
total moment: 0.0 Bohr magnetons per cell


# 2
The following is a PBE calculation of crystalline PmPr3Ru at its relaxed geometry, from Alexandria via LeMat-Bulk.

Lattice parameters (Å, degrees): 9.469 7.577 9.096 90.00 90.00 90.00
Space group Ima2 (No. 46)
Unique sites:
Pm1 0.250 0.026 0.000 x4
Pr1 0.042 0.750 0.250 x8
Pr2 0.250 0.020 0.500 x4
Ru1 0.250 0.249 0.250 x4

Output
formation enthalpy at 0 K: -0.087 eV per atom
total moment: 0.0 Bohr magnetons per cell


# 3
The following is a PBE calculation of crystalline ZnTeSe at its relaxed geometry, from Alexandria via LeMat-Bulk.

Lattice parameters (Å, degrees): 6.889 6.889 6.889 90.00 90.00 90.00
Space group F-43m (No. 216)
Unique sites:
Zn1 0.000 0.000 0.000 x4
Te1 0.250 0.250 0.750 x4
Se1 0.000 0.000 0.500 x4

Output
formation energy (no corrections): 0.34 eV per atom
total moment: 0.0 Bohr magnetons per cell


# 4
The following is a PBE calculation of crystalline ScHgBi2 at its relaxed geometry, from Alexandria via LeMat-Bulk.

Lattice parameters (Å, degrees): 4.041 4.041 6.670 90.00 90.00 90.00
Space group P4/mmm (No. 123)
Unique sites:
Sc1 0.000 0.000 0.000 x1
Hg1 0.000 0.000 0.500 x1
Bi1 0.500 0.500 0.232 x2

Output
formation enthalpy at 0 K: -0.257 eV per atom
total moment: 0.0 Bohr magnetons per cell


# 5
The following is a PBE calculation of crystalline SmGdGe at its relaxed geometry, from Alexandria via LeMat-Bulk.

Lattice parameters (Å, degrees): 4.7605 4.7605 4.2032 90.00 90.00 120.00
Space group P3m1 (No. 156)
Unique sites:
Sm1 0.0000 0.0000 0.0000 x1
Gd1 0.3333 0.6667 0.4651 x1
Ge1 0.6667 0.3333 0.6702 x1

Output
formation enthalpy at 0 K: -0.386 eV per atom
total moment: 7.3 Bohr magnetons per cell


# 6
The following is a PBE calculation of crystalline PuZn12Ga6 at its relaxed geometry, from Alexandria via LeMat-Bulk.

Lattice parameters (Å, degrees): 11.5259 11.5259 8.9587 90.00 90.00 120.00
Space group R-3m (No. 166, hexagonal axes)
Unique sites:
Pu1 0.0000 0.0000 0.0000 x3
Zn1 0.0000 0.3930 0.5000 x18
Zn2 0.0793 0.1586 0.3002 x18
Ga1 0.0442 0.5221 0.2343 x18

Output
formation enthalpy at 0 K: 0.070 eV per atom
total moment: 17.5 Bohr magnetons per cell


# 7
The following is a PBE calculation of crystalline Ga2HgPb at its relaxed geometry, from Alexandria via LeMat-Bulk.

Lattice parameters (Å, degrees): 6.015 3.547 9.770 90.00 101.54 90.00
Space group P2_1/m (No. 11)
Unique sites:
Ga1 0.083 0.250 0.137 x2
Ga2 0.338 0.750 0.025 x2
Hg1 0.291 0.250 0.416 x2
Pb1 0.257 0.250 0.736 x2

Output
formation enthalpy at 0 K: 0.068 eV per atom
total moment: 0.0 Bohr magnetons per cell


# 8
The following is a PBE calculation of crystalline CaBeFe2 at its relaxed geometry, from Alexandria via LeMat-Bulk.

Lattice parameters (Å, degrees): 3.857 3.857 3.941 90.00 90.00 90.00
Space group P4/mmm (No. 123)
Unique sites:
Ca1 0.000 0.000 0.000 x1
Be1 0.500 0.500 0.000 x1
Fe1 0.000 0.500 0.500 x2

Output
formation enthalpy at 0 K: 0.635 eV per atom
total moment: 4.0 Bohr magnetons per cell